# 1
# BaUO4 (PBE-GGA, relaxed)
# SG: Pbcm, No. 57
# Size of the total moment (μB per cell): 0.0
data_BaUO4
_chemical_formula_sum 'Ba4 U4 O16'
_cell_length_a 5.8838
_cell_length_b 8.2048
_cell_length_c 8.2924
_cell_angle_alpha 90.00
_cell_angle_beta 90.00
_cell_angle_gamma 90.00
_symmetry_space_group_name_H-M 'P 1'
_symmetry_Int_Tables_number 1
loop_
_symmetry_equiv_pos_as_xyz
'x,y,z'
loop_
_atom_site_label
_atom_site_type_symbol
_atom_site_fract_x
_atom_site_fract_y
_atom_site_fract_z
Ba1 Ba 0.0170 0.1944 0.2500
Ba2 Ba 0.0170 0.3056 0.7500
Ba3 Ba 0.9830 0.6944 0.2500
Ba4 Ba 0.9830 0.8056 0.7500
U1 U 0.5000 0.0000 0.0000
U2 U 0.5000 0.0000 0.5000
U3 U 0.5000 0.5000 0.0000
U4 U 0.5000 0.5000 0.5000
O1 O 0.2049 0.5746 0.5691
O2 O 0.2049 0.5746 0.9309
O3 O 0.2049 0.9254 0.0691
O4 O 0.2049 0.9254 0.4309
O5 O 0.3550 0.2500 0.0000
O6 O 0.3550 0.2500 0.5000
O7 O 0.3841 0.5269 0.2500
O8 O 0.3841 0.9731 0.7500
O9 O 0.6159 0.0269 0.2500
O10 O 0.6159 0.4731 0.7500
O11 O 0.6450 0.7500 0.0000
O12 O 0.6450 0.7500 0.5000
O13 O 0.7951 0.0746 0.5691
O14 O 0.7951 0.0746 0.9309
O15 O 0.7951 0.4254 0.0691
O16 O 0.7951 0.4254 0.4309

***

# 2
# Ba2UO5 (PBE-GGA, relaxed)
# ΔE to the lowest computed polymorph (eV per atom): 0.0000
# SG: C2/c, No. 15
# Size of the total moment (μB per cell): 0.0
data_Ba2UO5
_chemical_formula_sum 'Ba4 U2 O10'
_cell_length_a 6.8989
_cell_length_b 6.8989
_cell_length_c 8.5227
_cell_angle_alpha 107.73
_cell_angle_beta 107.73
_cell_angle_gamma 52.07
_symmetry_space_group_name_H-M 'P 1'
_symmetry_Int_Tables_number 1
loop_
_symmetry_equiv_pos_as_xyz
'x,y,z'
loop_
_atom_site_label
_atom_site_type_symbol
_atom_site_fract_x
_atom_site_fract_y
_atom_site_fract_z
Ba1 Ba 0.1353 0.2013 0.3323
Ba2 Ba 0.2013 0.1353 0.8323
Ba3 Ba 0.7987 0.8647 0.1677
Ba4 Ba 0.8647 0.7987 0.6677
U1 U 0.5000 0.5000 0.0000
U2 U 0.5000 0.5000 0.5000
O1 O 0.1368 0.6040 0.4077
O2 O 0.1502 0.5950 0.9661
O3 O 0.3911 0.6089 0.7500
O4 O 0.3960 0.8632 0.0923
O5 O 0.4050 0.8498 0.5339
O6 O 0.5950 0.1502 0.4661
O7 O 0.6040 0.1368 0.9077
O8 O 0.6089 0.3911 0.2500
O9 O 0.8498 0.4050 0.0339
O10 O 0.8632 0.3960 0.5923

***

# 3
# Ba2UO6 (PBE-GGA, relaxed)
# SG: Immm, No. 71
# Size of the total moment (μB per cell): 0.0
data_Ba2UO6
_chemical_formula_sum 'Ba2 U1 O6'
_cell_length_a 6.8774
_cell_length_b 6.8774
_cell_length_c 6.8774
_cell_angle_alpha 140.36
_cell_angle_beta 129.93
_cell_angle_gamma 65.67
_symmetry_space_group_name_H-M 'P 1'
_symmetry_Int_Tables_number 1
loop_
_symmetry_equiv_pos_as_xyz
'x,y,z'
loop_
_atom_site_label
_atom_site_type_symbol
_atom_site_fract_x
_atom_site_fract_y
_atom_site_fract_z
Ba1 Ba 0.1677 0.1677 0.0000
Ba2 Ba 0.8323 0.8323 0.0000
U1 U 0.5000 0.5000 0.0000
O1 O 0.1361 0.3680 0.7682
O2 O 0.3716 0.0000 0.3716
O3 O 0.4002 0.6320 0.7682
O4 O 0.5998 0.3680 0.2318
O5 O 0.6284 0.0000 0.6284
O6 O 0.8639 0.6320 0.2318

***

# 4
# Ba3U2O8 (PBE-GGA, relaxed)
# ΔE to the lowest computed polymorph (eV per atom): 0.0000
# SG: C2/m, No. 12
# Size of the total moment (μB per cell): 2.0
data_Ba3U2O8
_chemical_formula_sum 'Ba3 U2 O8'
_cell_length_a 7.3386
_cell_length_b 7.3386
_cell_length_c 9.0662
_cell_angle_alpha 125.76
_cell_angle_beta 125.76
_cell_angle_gamma 59.08
_symmetry_space_group_name_H-M 'P 1'
_symmetry_Int_Tables_number 1
loop_
_symmetry_equiv_pos_as_xyz
'x,y,z'
loop_
_atom_site_label
_atom_site_type_symbol
_atom_site_fract_x
_atom_site_fract_y
_atom_site_fract_z
Ba1 Ba 0.0000 0.0000 0.0000
Ba2 Ba 0.2568 0.7432 0.5000
Ba3 Ba 0.7432 0.2568 0.5000
U1 U 0.2714 0.2714 0.9978
U2 U 0.7286 0.7286 0.0022
O1 O 0.0105 0.4472 0.1280
O2 O 0.0574 0.0574 0.7531
O3 O 0.4472 0.0105 0.1280
O4 O 0.4736 0.4736 0.2536
O5 O 0.5264 0.5264 0.7464
O6 O 0.5528 0.9895 0.8720
O7 O 0.9426 0.9426 0.2469
O8 O 0.9895 0.5528 0.8720

***

Asked for formation energy (no corrections) across the records above, the calculation gives -3.199, -3.127, -2.696, -2.982 eV/atom in order.